(P)
This record from Alexandria describes a relaxed Nb3CoSb crystal. The functional is PBE.

size of the total moment = 0.0 Bohr magnetons per cell

Cell lengths 4.984, 4.984, 4.984 Å; angles 90.00, 90.00, 90.00 degrees
Sites, in units of the cell vectors:
Nb 0.000 0.000 0.500
Nb 0.000 0.500 0.000
Nb 0.500 0.000 0.000
Co 0.500 0.500 0.500
Sb 0.000 0.000 0.000

(Q)
This record from Alexandria describes a relaxed Nb3CoSb crystal. The functional is PBE.

size of the total moment = 0.0 Bohr magnetons per cell

Cell lengths 4.627, 4.627, 4.627 Å; angles 90.00, 90.00, 90.00 degrees
Sites, in units of the cell vectors:
Nb 0.000 0.000 0.500
Nb 0.000 0.500 0.000
Nb 0.500 0.000 0.000
Co 0.000 0.000 0.000
Sb 0.500 0.500 0.500

Most stable structure - (Q); separation to the second - 1.508 eV/atom.

(P)
This record from Alexandria describes a relaxed NbCoSbTe2 crystal. The functional is PBE.

size of the total moment = 2.7 Bohr magnetons per cell

Cell lengths 5.371, 5.371, 5.412 Å; angles 90.00, 90.00, 90.00 degrees
Sites, in units of the cell vectors:
Nb 0.000 0.000 0.000
Co 0.500 0.500 0.500
Sb 0.000 0.000 0.500
Te 0.000 0.500 0.000
Te 0.500 0.000 0.000

(Q)
This record from Alexandria describes a relaxed NbCoSbTe2 crystal. The functional is PBE.

size of the total moment = 0.0 Bohr magnetons per cell

Cell lengths 4.971, 4.971, 4.792 Å; angles 90.00, 90.00, 90.00 degrees
Sites, in units of the cell vectors:
Nb 0.000 0.000 0.000
Co 0.500 0.500 0.500
Sb 0.500 0.500 0.000
Te 0.000 0.500 0.500
Te 0.500 0.000 0.500

Most stable structure - (Q); separation to the second - 0.165 eV/atom.

(P)
This record from Alexandria describes a relaxed Sc2NbCo2 crystal. The functional is PBE.

size of the total moment = 0.0 Bohr magnetons per cell

Cell lengths 6.306, 6.306, 4.258 Å; angles 90.00, 90.00, 90.00 degrees
Sites, in units of the cell vectors:
Sc 0.177 0.323 0.000
Sc 0.323 0.823 0.000
Sc 0.677 0.177 0.000
Sc 0.823 0.677 0.000
Nb 0.000 0.000 0.500
Nb 0.500 0.500 0.500
Co 0.128 0.628 0.500
Co 0.372 0.128 0.500
Co 0.628 0.872 0.500
Co 0.872 0.372 0.500

(Q)
This record from Alexandria describes a relaxed Sc2NbCo2 crystal. The functional is PBE.

size of the total moment = 0.0 Bohr magnetons per cell

Cell lengths 5.300, 5.300, 5.300 Å; angles 137.14, 120.38, 76.19 degrees
Sites, in units of the cell vectors:
Sc 0.206 0.206 0.000
Sc 0.794 0.794 0.000
Nb 0.500 0.000 0.500
Co 0.217 0.500 0.717
Co 0.783 0.500 0.283

Most stable structure - (Q); separation to the second - 0.044 eV/atom.

(P)
This record from Alexandria describes a relaxed ScNbCo crystal. The functional is PBE.

size of the total moment = 0.0 Bohr magnetons per cell

Cell lengths 5.520, 5.520, 9.926 Å; angles 96.78, 96.78, 44.09 degrees
Sites, in units of the cell vectors:
Sc 0.084 0.084 0.151
Sc 0.415 0.415 0.336
Sc 0.585 0.585 0.664
Sc 0.916 0.916 0.849
Nb 0.139 0.139 0.458
Nb 0.215 0.215 0.881
Nb 0.785 0.785 0.119
Nb 0.861 0.861 0.542
Co 0.306 0.306 0.656
Co 0.400 0.400 0.056
Co 0.600 0.600 0.944
Co 0.694 0.694 0.344

(Q)
This record from Alexandria describes a relaxed ScNbCo crystal. The functional is PBE.

size of the total moment = 0.6 Bohr magnetons per cell

Cell lengths 5.624, 5.624, 5.624 Å; angles 147.90, 147.90, 46.04 degrees
Sites, in units of the cell vectors:
Sc 0.000 0.000 0.000
Nb 0.697 0.697 0.000
Co 0.335 0.335 0.000

Most stable structure - (P); separation to the second - 0.099 eV/atom.

(P)
This record from Alexandria describes a relaxed ScNb2Co2 crystal. The functional is PBE.

size of the total moment = 0.0 Bohr magnetons per cell

Cell lengths 7.566, 7.566, 2.770 Å; angles 90.00, 90.00, 90.00 degrees
Sites, in units of the cell vectors:
Sc 0.000 0.000 0.000
Sc 0.500 0.500 0.000
Nb 0.147 0.353 0.000
Nb 0.353 0.853 0.000
Nb 0.647 0.147 0.000
Nb 0.853 0.647 0.000
Co 0.147 0.647 0.500
Co 0.353 0.147 0.500
Co 0.647 0.853 0.500
Co 0.853 0.353 0.500

(Q)
This record from Alexandria describes a relaxed ScNb2Co2 crystal. The functional is PBE.

size of the total moment = 0.0 Bohr magnetons per cell

Cell lengths 7.125, 7.125, 3.110 Å; angles 90.00, 90.00, 90.00 degrees
Sites, in units of the cell vectors:
Sc 0.000 0.000 0.000
Sc 0.500 0.500 0.000
Nb 0.169 0.331 0.500
Nb 0.331 0.831 0.500
Nb 0.669 0.169 0.500
Nb 0.831 0.669 0.500
Co 0.126 0.626 0.000
Co 0.374 0.126 0.000
Co 0.626 0.874 0.000
Co 0.874 0.374 0.000

Most stable structure - (Q); separation to the second - 0.130 eV/atom.

(P)
This record from Alexandria describes a relaxed ScNb2Co crystal. The functional is PBE.

size of the total moment = 0.0 Bohr magnetons per cell

Cell lengths 5.879, 5.879, 5.879 Å; angles 101.81, 101.81, 126.20 degrees
Sites, in units of the cell vectors:
Sc 0.000 0.000 0.000
Sc 0.750 0.250 0.500
Nb 0.180 0.125 0.555
Nb 0.375 0.820 0.945
Nb 0.570 0.625 0.445
Nb 0.875 0.430 0.055
Co 0.250 0.750 0.500
Co 0.500 0.500 0.000

(Q)
This record from Alexandria describes a relaxed ScNb2Co crystal. The functional is PBE.

size of the total moment = 0.7 Bohr magnetons per cell

Cell lengths 10.097, 10.097, 10.097 Å; angles 16.37, 16.37, 16.37 degrees
Sites, in units of the cell vectors:
Sc 0.000 0.000 0.000
Nb 0.097 0.097 0.097
Nb 0.903 0.903 0.903
Co 0.500 0.500 0.500

(R)
This record from Alexandria describes a relaxed ScNb2Co crystal. The functional is PBE.

size of the total moment = 0.0 Bohr magnetons per cell

Cell lengths 4.532, 4.532, 4.532 Å; angles 60.00, 60.00, 60.00 degrees
Sites, in units of the cell vectors:
Sc 0.000 0.000 0.000
Nb 0.250 0.250 0.250
Nb 0.750 0.750 0.750
Co 0.500 0.500 0.500

Most stable structure - (R); separation to the second - 0.021 eV/atom.